# 1
Eu2LuIn: relaxed, PBE-GGA.

## Properties
* distance to the lowest polymorph of the same formula: 0.0 meV/atom
* density: 8.0 Mg/m³
* ΔE_f: -0.181 eV/atom

a b c (Å): 5.1356 4.9021 4.9021
angles (deg): 90.00 90.00 90.00
Fractional positions:
Eu  0.0000  0.0000  0.5000
Lu  0.5000  0.5000  0.5000
In  0.5000  0.0000  0.0000
Eu  0.0000  0.5000  0.0000



# 2
Mn2CuSb: relaxed, PBE-GGA.

## Properties
* density: 8.1 Mg/m³
* ΔE_f (raw): 170.4 meV/atom

a b c (Å): 4.9076 4.9076 3.8390
angles (deg): 66.97 66.97 46.05
Fractional positions:
Mn  0.0000  0.0000  0.9999
Sb  0.5000  0.5000  0.5000
Cu  0.2500  0.2500  0.2499
Mn  0.7500  0.7500  0.7501



# 3
HgRu2: relaxed, PBE-GGA.

## Properties
* distance to the lowest polymorph of the same formula: 263.6 meV/atom
* density: 13.7 Mg/m³
* ΔE_f: 0.575 eV/atom

a b c (Å): 5.5160 5.5160 6.5898
angles (deg): 76.46 76.46 30.03
Fractional positions:
Hg  0.3306  0.3306  0.3445
Hg  0.0018  0.0018  0.0067
Ru  0.2739  0.2739  0.9048
Ru  0.6139  0.6139  0.2921
Ru  0.9541  0.9541  0.6210
Ru  0.6590  0.6590  0.6643



# 4
Ba2GeTeRh: relaxed, PBE-GGA.

## Properties
* density: 5.5 Mg/m³
* ΔE_f (raw): -826.7 meV/atom

a b c (Å): 6.0786 6.0786 4.7029
angles (deg): 90.00 90.00 90.00
Fractional positions:
Te  0.5000  0.5000  0.5000
Ba  0.0000  0.5000  0.0000
Ge  0.0000  0.0000  0.5000
Rh  0.0000  0.0000  0.0000
Ba  0.5000  0.0000  0.0000